[1]
{
  "formula": "Sm2SiSbRh6",
  "functional": "PBE",
  "state": "relaxed",
  "dos_ef_per_ev_cell": 6.565,
  "crystal_system": "triclinic",
  "raw_formation_energy_ev_per_atom": -0.532,
  "total_energy_ry_per_atom": -0.5028,
  "cell": [[-0.346, 1.348, -6.021], [5.770, -4.206, -1.239], [0.614, -5.598, -4.409]],
  "species": ["Sm", "Rh", "Sm", "Sb", "Rh", "Si", "Rh", "Rh", "Rh", "Rh"],
  "fractional_positions": [[0.245, 0.757, 0.507], [0.743, 0.259, 0.068], [0.755, 0.243, 0.493], [0.000, 0.000, 0.000], [0.817, 0.739, 0.929], [0.500, 0.500, 0.000], [0.183, 0.261, 0.071], [0.258, 0.177, 0.487], [0.257, 0.741, 0.932], [0.742, 0.823, 0.513]]
}

=====

[2]
{
  "formula": "ScVRu2I",
  "functional": "PBE",
  "state": "relaxed",
  "dos_ef_per_ev_cell": 5.349,
  "crystal_system": "tetragonal",
  "raw_formation_energy_ev_per_atom": 1.192,
  "total_energy_ry_per_atom": -0.4350,
  "cell": [[-1.361, 4.012, 2.245], [-1.901, -2.593, 3.481], [4.176, 0.099, 2.354]],
  "species": ["Ru", "V", "Sc", "I", "Ru"],
  "fractional_positions": [[0.500, 0.000, 0.000], [0.000, 0.500, 0.000], [0.500, 0.500, 0.500], [0.000, 0.000, 0.000], [0.000, 0.000, 0.500]]
}

=====

[3]
{
  "formula": "Zr2ScZn2",
  "functional": "PBE",
  "state": "relaxed",
  "dos_ef_per_ev_cell": 6.482,
  "crystal_system": "tetragonal",
  "de_polymorph_ev_per_fu": 1.106,
  "total_energy_ry_per_atom": -0.3834,
  "e_form_mev_per_atom": -21,
  "cell": [[4.157, 0.000, 0.000], [0.000, 4.157, 0.000], [2.079, 2.079, 6.118]],
  "species": ["Zn", "Zn", "Zr", "Sc", "Zr"],
  "fractional_positions": [[0.405, 0.405, 0.190], [0.595, 0.595, 0.810], [0.250, 0.750, 0.500], [0.000, 0.000, 0.000], [0.750, 0.250, 0.500]]
}

=====

[4]
{
  "formula": "Nd2ThHg6",
  "functional": "PBE",
  "state": "relaxed",
  "dos_ef_per_ev_cell": 5.981,
  "crystal_system": "hexagonal",
  "total_energy_ry_per_atom": -0.1810,
  "e_form_mev_per_atom": -377,
  "cell": [[-2.564, -0.046, 2.287], [-5.016, -4.413, -5.713], [5.118, -4.377, 5.650]],
  "species": ["Hg", "Hg", "Hg", "Nd", "Th", "Hg", "Hg", "Hg", "Nd"],
  "fractional_positions": [[0.500, 0.334, 0.000], [0.500, 0.334, 0.334], [0.500, 0.000, 0.666], [0.000, 0.333, 0.667], [0.000, 0.000, 0.000], [0.500, 0.666, 0.666], [0.500, 0.000, 0.334], [0.500, 0.666, 0.000], [0.000, 0.667, 0.333]]
}

=====

[5]
{
  "formula": "CaHo2Al",
  "functional": "PBE",
  "state": "relaxed",
  "dos_ef_per_ev_cell": 3.921,
  "crystal_system": "tetragonal",
  "de_polymorph_ev_per_fu": 0.251,
  "total_energy_ry_per_atom": -0.2798,
  "e_form_mev_per_atom": -82,
  "cell": [[4.698, 0.000, 0.000], [0.000, 4.859, 0.000], [0.000, 0.000, 4.859]],
  "species": ["Al", "Ho", "Ca", "Ho"],
  "fractional_positions": [[0.500, 0.500, 0.500], [0.000, 0.000, 0.500], [0.500, 0.000, 0.000], [0.000, 0.500, 0.000]]
}

=====

[6]
{
  "formula": "Mn2AsAu2",
  "functional": "PBE",
  "state": "relaxed",
  "dos_ef_per_ev_cell": 5.553,
  "crystal_system": "tetragonal",
  "de_polymorph_ev_per_fu": 0.187,
  "total_energy_ry_per_atom": -0.4254,
  "e_form_mev_per_atom": 120,
  "cell": [[-4.685, 0.676, -5.904], [-5.861, -1.769, 4.448], [-0.407, 3.033, 0.670]],
  "species": ["Au", "As", "Mn", "Au", "Mn", "Au", "Mn", "As", "Au", "Mn"],
  "fractional_positions": [[0.135, 0.365, 0.000], [0.500, 0.500, 0.000], [0.838, 0.338, 0.500], [0.635, 0.135, 0.000], [0.662, 0.838, 0.500], [0.365, 0.865, 0.000], [0.162, 0.662, 0.500], [0.000, 0.000, 0.000], [0.865, 0.635, 0.000], [0.338, 0.162, 0.500]]
}